1.
The following is a DFT calculation (PBE) of a relaxed structure of Na3Dy2AlSe6.

```
Na3Dy2AlSe6
1.0
7.003 -0.004 -0.003
-3.504 6.063 -0.003
-1.170 -2.026 6.999
Na Dy Al Se
3 2 1 6
Cartesian
-2.311 4.023 3.497
4.639 0.009 3.497
1.164 2.016 3.497
0.001 4.039 -0.003
3.498 2.020 -0.003
0.000 0.000 0.000
3.415 2.155 5.449
2.425 4.199 1.519
-1.086 1.878 1.544
0.160 4.035 5.449
-0.096 -0.166 5.474
2.169 -0.002 1.544
```

The value obtained for the size of the total moment is 0.0 Bohr magnetons per cell. The formation energy from raw total energies comes out at -17.2 eV/f.u.

2.
The following is a DFT calculation (PBE) of a relaxed structure of Pu2PaNiSe5.

```
Pu2PaNiSe5
1.0
3.948 0.000 0.000
-1.974 8.596 0.000
0.000 0.000 12.325
Pu Pa Ni Se
4 2 2 10
Cartesian
1.974 6.529 10.101
0.000 1.798 8.230
0.000 2.067 3.938
1.974 6.798 2.068
1.974 5.510 6.102
0.000 3.086 12.265
1.974 1.108 1.144
0.000 7.487 7.307
0.000 5.932 12.300
1.974 3.293 10.205
0.000 8.588 9.401
0.000 5.282 8.163
1.974 8.265 6.132
1.974 2.664 6.137
0.000 5.303 4.043
1.974 0.008 3.239
1.974 3.314 2.001
0.000 0.331 12.294
```

The value obtained for the size of the total moment is 0.1 Bohr magnetons per cell. The formation energy from raw total energies comes out at -11.3 eV/f.u.